Below is a relaxed structure of LiTcIr2, with properties calculated at the PBE level.

Structure (extended XYZ):
```
4
Lattice="4.6571 -0.0005 0.0000 -1.3583 4.4546 0.0000 0.0000 0.0000 2.6981" Properties=species:S:1:pos:R:3 pbc="T T T"
Ir 0.0000 0.0000 0.0000
Ir 1.6494 2.2270 0.0000
Li 2.3285 -0.0003 1.3490
Tc -0.6792 2.2273 1.3490
```

## Properties
Offset from the most stable computed form, eV/f.u.: 0.35
Magnetization, μB per formula unit: 0.09
Energy of formation, eV/atom: -0.028
Raw total energy, eV/cell: -30.11